Density functional theory data (PBE) for an optimized crystal structure of Y3Ho2Cu3.

Results
- Calculated density: 6.924 g cm⁻³
- Calculated volume: 23.60 Å³/atom
- Energy of formation from the pure elements: -154 meV per atom

Cell and atoms, written as POSCAR:
```
Y3Ho2Cu3
1.0
-0.901 -0.523 3.379
-2.153 -4.461 -1.265
10.618 -2.370 0.612
Y Cu Ho
3 3 2
direct
0.384 0.384 0.767
0.616 0.616 0.233
0.500 0.000 0.000
0.884 0.884 0.769
0.000 0.500 0.000
0.116 0.116 0.231
0.274 0.774 0.548
0.726 0.226 0.452
```


Density functional theory data (PBE) for an optimized crystal structure of FeH2AuSe.

Results
- Calculated density: 8.244 g cm⁻³
- Calculated volume: 13.45 Å³/atom
- E: -0.1465 Ha/atom

Cell and atoms, written as POSCAR:
```
FeH2AuSe
1.0
3.659 0.000 0.000
0.000 5.020 0.000
0.000 0.000 3.659
H Se Au Fe
2 1 1 1
direct
0.000 0.000 0.500
0.500 0.000 0.000
0.000 0.500 0.000
0.500 0.500 0.500
0.000 0.000 0.000
```


Density functional theory data (PBE) for an optimized crystal structure of BaLiHf2.

Results
- Calculated density: 8.404 g cm⁻³
- Calculated volume: 24.76 Å³/atom
- ΔE to the lowest computed polymorph: 187.0 meV/atom
- Energy of formation from the pure elements: 994 meV per atom

Cell and atoms, written as POSCAR:
```
BaLiHf2
1.0
0.000 3.672 3.672
3.672 0.000 3.672
3.672 3.672 0.000
Li Ba Hf
1 1 2
direct
0.000 0.000 0.000
0.500 0.500 0.500
0.250 0.250 0.250
0.750 0.750 0.750
```


Density functional theory data (PBE) for an optimized crystal structure of LiLa4Mg.

Results
- Calculated density: 4.591 g cm⁻³
- Calculated volume: 35.38 Å³/atom
- Energy of formation from the pure elements: 328 meV per atom

Cell and atoms, written as POSCAR:
```
LiLa4Mg
1.0
0.000 4.735 4.735
4.735 0.000 4.735
4.735 4.735 0.000
La Li Mg
4 1 1
direct
0.882 0.373 0.373
0.373 0.373 0.882
0.373 0.882 0.373
0.373 0.373 0.373
0.750 0.750 0.750
0.000 0.000 0.000
```


Density functional theory data (PBE) for an optimized crystal structure of CeSmGa2Pd5.

Results
- Calculated density: 9.520 g cm⁻³
- Calculated volume: 18.65 Å³/atom
- Energy of formation from the pure elements: -779 meV per atom

Cell and atoms, written as POSCAR:
```
CeSmGa2Pd5
1.0
4.262 0.000 0.000
0.000 4.262 0.000
0.000 0.000 9.238
Sm Pd Ce Ga
1 5 1 2
direct
0.000 0.000 0.000
0.000 0.500 0.281
0.500 0.000 0.281
0.000 0.500 0.719
0.500 0.000 0.719
0.500 0.500 0.500
0.000 0.000 0.500
0.500 0.500 0.136
0.500 0.500 0.864
```


Density functional theory data (PBE) for an optimized crystal structure of InBi2Sb.

Results
- Calculated density: 9.088 g cm⁻³
- Raw formation energy: 119.9 meV per atom
- Calculated volume: 29.90 Å³/atom
- ΔE to the lowest computed polymorph: 40.0 meV/atom

Cell and atoms, written as POSCAR:
```
InBi2Sb
1.0
-1.927 -2.084 3.548
-1.136 -4.020 -2.978
4.505 -2.151 1.184
In Sb Bi
1 1 2
direct
0.500 0.500 0.500
0.500 0.000 0.000
0.000 0.000 0.500
0.000 0.500 0.000
```


Density functional theory data (PBE) for an optimized crystal structure of Ti2BeIn.

Results
- Calculated density: 5.694 g cm⁻³
- Calculated volume: 16.01 Å³/atom
- ΔE to the lowest computed polymorph: 0.0 meV/atom
- Energy of formation from the pure elements: -96 meV per atom

Cell and atoms, written as POSCAR:
```
Ti2BeIn
1.0
-0.066 2.802 0.588
-2.834 0.019 -0.409
-1.101 -1.613 7.562
Ti In Be
2 1 1
direct
0.000 0.000 0.796
0.000 0.000 0.204
0.500 0.500 0.500
0.500 0.500 0.000
```


Density functional theory data (PBE) for an optimized crystal structure of Na2CaZnBi2.

Results
- Calculated density: 5.468 g cm⁻³
- Calculated volume: 28.82 Å³/atom
- Energy of formation from the pure elements: -468 meV per atom

Cell and atoms, written as POSCAR:
```
Na2CaZnBi2
1.0
-3.838 0.090 -2.791
4.089 -3.666 -5.741
-2.615 -8.135 3.333
Na Zn Bi Ca
4 2 4 2
direct
0.500 0.030 0.080
0.000 0.849 0.838
0.000 0.349 0.162
0.500 0.530 0.920
0.500 0.645 0.322
0.500 0.145 0.678
0.500 0.276 0.378
0.000 0.247 0.826
0.000 0.747 0.174
0.500 0.776 0.622
0.000 0.498 0.543
0.000 0.998 0.457
```